# Cr2FeTe4, optimized geometry, DFT GGA-PBE
data_Cr2FeTe4
_chemical_formula_sum 'Cr4 Fe2 Te8'
_cell_length_a 13.466
_cell_length_b 4.055
_cell_length_c 6.901
_cell_angle_alpha 90.00
_cell_angle_beta 120.83
_cell_angle_gamma 90.00
_symmetry_space_group_name_H-M 'C 1 2/m 1'
_symmetry_Int_Tables_number 12
loop_
_symmetry_equiv_pos_as_xyz
'x,y,z'
'-x,-y,-z'
'-x,y,-z'
'x,-y,z'
'x+1/2,y+1/2,z'
'-x+1/2,-y+1/2,-z'
'-x+1/2,y+1/2,-z'
'x+1/2,-y+1/2,z'
loop_
_atom_site_label
_atom_site_type_symbol
_atom_site_fract_x
_atom_site_fract_y
_atom_site_fract_z
Cr1 Cr 0.250 0.000 0.238
Fe1 Fe 0.000 0.000 0.000
Te1 Te 0.121 0.000 0.782
Te2 Te 0.125 0.500 0.291
# Density ... 6.88 g/cm3
# Formation energy without anion corrections ... -113 meV/atom
# DFT total energy ... -41.064 eV/f.u.